[1]
## Na2AgO4 (PBE)

Data for an optimized crystal structure of Na2AgO4.

```
Na2AgO4
1.0
4.590 -4.593 0.000
-4.590 0.000 -4.593
4.590 4.593 0.000
Na O Ag
4 8 2
direct
0.875 0.250 0.625
0.375 0.750 0.125
0.375 0.250 0.625
0.375 0.750 0.625
0.122 0.756 0.878
0.122 0.244 0.366
0.628 0.256 0.372
0.628 0.256 0.884
0.628 0.744 0.372
0.116 0.744 0.372
0.122 0.244 0.878
0.634 0.756 0.878
0.000 0.000 0.000
0.750 0.500 0.250
```

Summary:
As for the crystal system: cubic. The calculation puts the volume at 193.6 Å³ per cell. The calculation puts the energy at -3.660 eV per atom.

---

[2]
## Tm4SbPb2 (PBE)

Data for an optimized crystal structure of Tm4SbPb2.

```
Tm4SbPb2
1.0
7.973 0.000 0.000
-2.669 7.513 0.000
-2.634 -3.769 6.514
Tm Pb Sb
8 4 2
direct
0.228 0.107 0.481
0.022 0.752 0.628
0.876 0.248 0.269
0.519 0.748 0.626
0.374 0.893 0.122
0.731 0.607 0.978
0.372 0.393 0.124
0.878 0.252 0.772
0.125 0.625 0.250
0.500 0.125 0.875
0.625 0.375 0.500
0.750 0.875 0.375
0.250 0.500 0.750
0.000 0.000 0.000
```

Summary:
As for the crystal system: tetragonal. The calculation puts the volume at 390.1 Å³ per cell. The calculation puts the energy at -4.823 eV per atom.

---

[3]
## BaGdHg (PBE)

Data for an optimized crystal structure of BaGdHg.

```
BaGdHg
1.0
0.000 3.818 3.818
3.818 0.000 3.818
3.818 3.818 0.000
Gd Hg Ba
1 1 1
direct
0.250 0.250 0.250
0.750 0.750 0.750
0.000 0.000 0.000
```

Summary:
As for the crystal system: cubic. The calculation puts the volume at 111.3 Å³ per cell. The calculation puts the energy at -1.814 eV per atom.

---

[4]
## KHg2Au (PBE)

Data for an optimized crystal structure of KHg2Au.

```
KHg2Au
1.0
0.282 5.502 -2.986
-4.189 -2.689 3.807
3.706 3.280 6.394
Au Hg K
2 4 2
direct
0.284 0.716 0.750
0.716 0.284 0.250
0.135 0.865 0.445
0.865 0.135 0.945
0.865 0.135 0.555
0.135 0.865 0.055
0.574 0.426 0.750
0.426 0.574 0.250
```

Summary:
As for the crystal system: orthorhombic. The calculation puts the volume at 227.9 Å³ per cell. The calculation puts the energy at -1.509 eV per atom.

---

[5]
## KSrIr (PBE)

Data for an optimized crystal structure of KSrIr.

```
KSrIr
1.0
0.000 3.645 3.645
3.645 0.000 3.645
3.645 3.645 0.000
Ir K Sr
1 1 1
direct
0.000 0.000 0.000
0.250 0.250 0.250
0.750 0.750 0.750
```

Summary:
As for the crystal system: cubic. The calculation puts the volume at 96.9 Å³ per cell. The calculation puts the energy at -3.459 eV per atom.

---

[6]
## ScCoBiAu (PBE)

Data for an optimized crystal structure of ScCoBiAu.

```
ScCoBiAu
1.0
0.000 3.351 3.351
3.351 0.000 3.351
3.351 3.351 0.000
Co Au Sc Bi
1 1 1 1
direct
0.000 0.000 0.000
0.750 0.750 0.750
0.500 0.500 0.500
0.250 0.250 0.250
```

Summary:
Its relative energy among the computed polymorphs is 0.00 eV per formula unit. As for the crystal system: cubic. The calculation puts the volume at 75.3 Å³ per cell.

---

[7]
## SrNiBiAu (PBE)

Data for an optimized crystal structure of SrNiBiAu.

```
SrNiBiAu
1.0
0.000 3.590 3.590
3.590 0.000 3.590
3.590 3.590 0.000
Sr Ni Au Bi
1 1 1 1
direct
0.000 0.000 0.000
0.250 0.250 0.250
0.750 0.750 0.750
0.500 0.500 0.500
```

Summary:
Its relative energy among the computed polymorphs is 0.00 eV per formula unit. As for the crystal system: cubic. The calculation puts the volume at 92.5 Å³ per cell.

---

[8]
## TmTaOs2 (PBE)

Data for an optimized crystal structure of TmTaOs2.

```
TmTaOs2
1.0
-2.119 -0.478 2.388
-1.799 -1.826 -1.962
3.424 -5.461 1.945
Tm Ta Os
1 1 2
direct
0.000 0.000 0.500
0.000 0.000 0.000
0.500 0.500 0.225
0.500 0.500 0.775
```

Summary:
Its formation energy is -0.37 eV/atom. As for the crystal system: tetragonal. The calculation puts the volume at 70.2 Å³ per cell.

---

[9]
## ZnCuSiMo (PBE)

Data for an optimized crystal structure of ZnCuSiMo.

```
ZnCuSiMo
1.0
0.000 3.002 3.002
3.002 0.000 3.002
3.002 3.002 0.000
Zn Cu Si Mo
1 1 1 1
direct
0.500 0.500 0.500
0.750 0.750 0.750
0.000 0.000 0.000
0.250 0.250 0.250
```

Summary:
Its relative energy among the computed polymorphs is 0.00 eV per formula unit. As for the crystal system: cubic. The calculation puts the volume at 54.1 Å³ per cell.

---

[10]
## Sc4TlFeN2 (PBE)

Data for an optimized crystal structure of Sc4TlFeN2.

```
Sc4TlFeN2
1.0
3.225 0.000 0.000
-1.612 2.793 0.000
0.000 0.000 14.027
Tl N Sc Fe
1 2 4 1
direct
0.667 0.333 0.500
0.333 0.667 0.238
0.333 0.667 0.762
0.667 0.333 0.139
0.000 0.000 0.317
0.667 0.333 0.861
0.000 0.000 0.683
0.000 0.000 0.000
```

Summary:
As for the crystal system: hexagonal. The calculation puts the volume at 126.3 Å³ per cell. The calculation puts the energy at -7.510 eV per atom.

---

[11]
## Na4Ag2AsP (PBE)

Data for an optimized crystal structure of Na4Ag2AsP.

```
Na4Ag2AsP
1.0
5.666 0.000 0.000
0.000 4.391 3.621
0.000 -4.391 3.621
Na Ag As P
4 2 1 1
direct
0.000 0.468 0.823
0.500 0.527 0.175
0.000 0.823 0.468
0.500 0.175 0.527
0.249 0.006 0.006
0.751 0.006 0.006
0.500 0.713 0.713
0.000 0.283 0.283
```

Summary:
As for the crystal system: orthorhombic. The calculation puts the volume at 180.2 Å³ per cell. The calculation puts the energy at -2.987 eV per atom.

---

[12]
## BaAgO3 (PBE)

Data for an optimized crystal structure of BaAgO3.

```
BaAgO3
1.0
-2.936 5.085 0.000
2.936 5.085 0.000
0.000 3.390 -5.478
O Ag Ba
6 2 2
direct
0.443 0.824 0.712
0.979 0.557 0.288
0.021 0.443 0.712
0.824 0.021 0.712
0.176 0.979 0.288
0.557 0.176 0.288
0.161 0.161 0.517
0.839 0.839 0.483
0.374 0.374 0.878
0.626 0.626 0.122
```

Summary:
As for the crystal system: trigonal. The calculation puts the volume at 163.5 Å³ per cell. The calculation puts the energy at -4.779 eV per atom.

---

What did the second record say?
## Tm4SbPb2 (PBE)

Data for an optimized crystal structure of Tm4SbPb2.

```
Tm4SbPb2
1.0
7.973 0.000 0.000
-2.669 7.513 0.000
-2.634 -3.769 6.514
Tm Pb Sb
8 4 2
direct
0.228 0.107 0.481
0.022 0.752 0.628
0.876 0.248 0.269
0.519 0.748 0.626
0.374 0.893 0.122
0.731 0.607 0.978
0.372 0.393 0.124
0.878 0.252 0.772
0.125 0.625 0.250
0.500 0.125 0.875
0.625 0.375 0.500
0.750 0.875 0.375
0.250 0.500 0.750
0.000 0.000 0.000
```

Summary:
As for the crystal system: tetragonal. The calculation puts the volume at 390.1 Å³ per cell. The calculation puts the energy at -4.823 eV per atom.